[1]
BeIr3Ru: relaxed, PBEsol.

energy of formation	0.61	eV per atom
electronic total energy	-40.6	eV for the cell shown

abc: 4.0501 4.0501 4.0501
angles: 90.00 90.00 90.00
Closest atoms and distances in Å follow each position.
Space group Pm-3m (No. 221)
Symmetry-distinct sites (fractional):
Be 0.0000 0.0000 0.0000  6 Ir 2.03
Ir 0.0000 0.0000 0.5000  2 Be 2.03
Ru 0.5000 0.5000 0.5000  12 Ir 2.86

[2]
BeIrRu2: relaxed, PBEsol.

energy of formation	-0.18	eV per atom
electronic total energy	-34.9	eV for the cell shown

abc: 2.7314 2.7314 6.4541
angles: 90.00 90.00 90.00
Closest atoms and distances in Å follow each position.
Space group P4mm (No. 99)
Symmetry-distinct sites (fractional):
Be 0.0000 0.0000 0.0000  4 Ir 2.36, 4 Ru 2.42
Ir 0.5000 0.5000 0.2107  4 Be 2.36
Ru 0.0000 0.0000 0.5041  8 Ru 2.60-2.73, 4 Ir 2.71
Ru 0.5000 0.5000 0.7746  4 Be 2.42, 4 Ru 2.60

[3]
Be4IrRu: relaxed, PBEsol.

energy of formation	-0.38	eV per atom
electronic total energy	-153.0	eV for the cell shown

abc: 6.1040 6.1040 6.1040
angles: 90.00 90.00 90.00
Closest atoms and distances in Å follow each position.
Space group F-43m (No. 216)
Symmetry-distinct sites (fractional):
Be 0.1248 0.1248 0.1248  6 Be 2.15-2.16
Ir 0.0000 0.0000 0.5000  12 Be 2.53, 4 Ru 2.64
Ru 0.2500 0.2500 0.7500  12 Be 2.53, 4 Ir 2.64

[4]
BeIrRu2: relaxed, PBEsol.

energy of formation	0.21	eV per atom
electronic total energy	-133.3	eV for the cell shown

abc: 5.8772 5.8772 5.8772
angles: 90.00 90.00 90.00
Closest atoms and distances in Å follow each position.
Space group F-43m (No. 216)
Symmetry-distinct sites (fractional):
Be 0.0000 0.0000 0.0000  4 Ru 2.54, 4 Ir 2.54
Ir 0.2500 0.2500 0.2500  4 Ru 2.54, 4 Be 2.54
Ru 0.0000 0.0000 0.5000  4 Ru 2.54, 4 Ir 2.54
Ru 0.2500 0.2500 0.7500  4 Ru 2.54, 4 Be 2.54

Number 1: ρ 17.16 g/cm³. Number 2: ρ 13.91 g/cm³. Number 3: ρ 9.62 g/cm³. Number 4: ρ 13.20 g/cm³.